1.
Tb2Dy4Y2Ho | PBE-GGA | optimized geometry

Cell lengths 9.477, 9.477, 9.520 Å; angles 115.25, 115.25, 21.79 degrees
Fractional coordinates of all 9 atoms:
Tb (0.166, 0.166, 0.001)
Tb (0.834, 0.834, 0.999)
Dy (0.019, 0.019, 0.333)
Dy (0.315, 0.315, 0.666)
Dy (0.685, 0.685, 0.334)
Dy (0.981, 0.981, 0.667)
Y (0.352, 0.352, 0.334)
Y (0.648, 0.648, 0.666)
Ho (0.500, 0.500, 0.000)

## Properties
As for the magnetization: 0.0 μB/f.u. The space group is C2/m. The value obtained for the density of states at the Fermi level is 11.94 states/eV/f.u. The calculation puts the formation energy from the elements at 0.000 eV/atom.

2.
SnAs2BrF | PBE-GGA | optimized geometry

Cell lengths 5.382, 5.382, 5.414 Å; angles 90.00, 90.00, 90.00 degrees
Fractional coordinates of all 5 atoms:
Sn (0.000, 0.000, 0.000)
As (0.000, 0.500, 0.000)
As (0.500, 0.000, 0.000)
Br (0.000, 0.000, 0.500)
F (0.500, 0.500, 0.500)

## Properties
As for the magnetization: 2.1 μB/f.u. The space group is P4/mmm. The calculation puts the calculated total energy at -14.6 eV/cell. The value obtained for the density of states at the Fermi level is 5.74 states/eV/f.u.

3.
Pa2InGe | PBE-GGA | optimized geometry

Cell lengths 9.140, 9.140, 9.140 Å; angles 23.34, 23.34, 23.34 degrees
Fractional coordinates of all 4 atoms:
Pa (0.238, 0.238, 0.238)
Pa (0.762, 0.762, 0.762)
In (0.000, 0.000, 0.000)
Ge (0.500, 0.500, 0.500)

## Properties
As for the magnetization: 0.0 μB/f.u. The space group is R-3m. The value obtained for the density of states at the Fermi level is 7.05 states/eV/f.u. The calculation puts the formation energy from the elements at -0.010 eV/atom.

4.
DyMg2Cd8 | PBE-GGA | optimized geometry

Cell lengths 8.370, 8.370, 6.911 Å; angles 103.56, 103.56, 32.18 degrees
Fractional coordinates of all 11 atoms:
Dy (0.000, 0.000, 0.000)
Mg (0.259, 0.259, 0.351)
Mg (0.741, 0.741, 0.649)
Cd (0.092, 0.092, 0.480)
Cd (0.191, 0.191, 0.906)
Cd (0.367, 0.367, 0.784)
Cd (0.442, 0.442, 0.256)
Cd (0.558, 0.558, 0.744)
Cd (0.633, 0.633, 0.216)
Cd (0.809, 0.809, 0.094)
Cd (0.908, 0.908, 0.520)

## Properties
As for the magnetization: 0.0 μB/f.u. The space group is C2/m. The value obtained for the density of states at the Fermi level is 4.14 states/eV/f.u. The calculation puts the formation energy from the elements at -0.126 eV/atom.

5.
Sm4Ir2I | PBE-GGA | optimized geometry

Cell lengths 14.387, 14.387, 14.387 Å; angles 16.78, 16.78, 16.78 degrees
Fractional coordinates of all 7 atoms:
Sm (0.127, 0.127, 0.127)
Sm (0.274, 0.274, 0.274)
Sm (0.726, 0.726, 0.726)
Sm (0.873, 0.873, 0.873)
Ir (0.427, 0.427, 0.427)
Ir (0.573, 0.573, 0.573)
I (0.000, 0.000, 0.000)

## Properties
As for the magnetization: 0.0 μB/f.u. The space group is R-3m. The calculation puts the calculated total energy at -43.5 eV/cell. The value obtained for the density of states at the Fermi level is 4.20 states/eV/f.u.

6.
SrCoSi2Ni | PBE-GGA | optimized geometry

Cell lengths 5.916, 5.916, 5.916 Å; angles 140.17, 140.17, 57.60 degrees
Fractional coordinates of all 5 atoms:
Sr (0.000, 0.000, 0.000)
Co (0.250, 0.750, 0.500)
Si (0.357, 0.357, 0.000)
Si (0.643, 0.643, 0.000)
Ni (0.750, 0.250, 0.500)

## Properties
As for the magnetization: 0.7 μB/f.u. The space group is I-4m2. The calculation puts the calculated total energy at -28.0 eV/cell. The value obtained for the density of states at the Fermi level is 3.51 states/eV/f.u.